{
  "formula": "Zn5FeNi6",
  "functional": "PBE-GGA",
  "state": "relaxed",
  "lattice_angstrom": [[-2.027, -3.086, -1.920], [3.964, -3.556, 1.530], [-4.145, -2.766, 4.312]],
  "species": ["Zn", "Zn", "Zn", "Zn", "Zn", "Fe", "Ni", "Ni", "Ni", "Ni", "Ni", "Ni"],
  "fractional_positions": [[0.667, 0.500, 0.666], [0.666, 0.000, 0.667], [0.333, 0.500, 0.334], [0.000, 0.500, 0.000], [0.334, 0.000, 0.333], [0.000, 0.000, 0.000], [0.165, 0.249, 0.671], [0.835, 0.751, 0.329], [0.835, 0.249, 0.329], [0.500, 0.755, 0.000], [0.165, 0.751, 0.671], [0.500, 0.245, 0.000]],
  "delta_e_f_mev_per_atom": -180,
  "crystal_system": "orthorhombic"
}